i:
This record from Alexandria via LeMat-Bulk describes a geometry-optimized Pm6Tm3Sc structure. The functional is GGA-PBE.

Properties
ρ, g/cm3: 7.26

a = 11.019 Å, b = 19.105 Å, c = 6.182 Å
α = 90.00°, β = 90.00°, γ = 90.00°
Space group Cmc2_1 (No. 36)
Inequivalent atoms, fractional coordinates:
Pm 0.000 0.045 0.000 x4
Pm 0.000 0.275 0.724 x4
Pm 0.166 0.455 0.609 x8
Pm 0.230 0.287 0.414 x8
Tm 0.000 0.387 0.138 x4
Tm 0.162 0.110 0.535 x8
Sc 0.000 0.201 0.191 x4

=====

ii:
This record from Alexandria via LeMat-Bulk describes a geometry-optimized Pm6Tm3Sc structure. The functional is GGA-PBE.

Properties
ρ, g/cm3: 7.15

a = 9.7964 Å, b = 9.7964 Å, c = 11.9178 Å
α = 90.00°, β = 90.00°, γ = 120.00°
Space group R3 (No. 146, hexagonal axes)
Inequivalent atoms, fractional coordinates:
Pm 0.0005 0.6721 0.0000 x9
Pm 0.0052 0.3375 0.5009 x9
Tm 0.0000 0.0000 0.1613 x3
Tm 0.0000 0.0000 0.4151 x3
Tm 0.0000 0.0000 0.6698 x3
Sc 0.0000 0.0000 0.9154 x3

=====

i is favored, and the nearest alternative lies 77 meV per atom above it.

=====

i:
This record from Alexandria via LeMat-Bulk describes a geometry-optimized PmYTmSc structure. The functional is GGA-PBE.

Properties
ρ, g/cm3: 6.12

a = 7.861 Å, b = 7.861 Å, c = 7.861 Å
α = 90.00°, β = 90.00°, γ = 90.00°
Space group F-43m (No. 216)
Inequivalent atoms, fractional coordinates:
Pm 0.000 0.000 0.000 x4
Y 0.000 0.000 0.500 x4
Tm 0.250 0.250 0.750 x4
Sc 0.250 0.250 0.250 x4

=====

ii:
This record from Alexandria via LeMat-Bulk describes a geometry-optimized PmYTmSc structure. The functional is GGA-PBE.

Properties
ρ, g/cm3: 6.16

a = 4.966 Å, b = 4.966 Å, c = 9.789 Å
α = 90.00°, β = 90.00°, γ = 90.00°
Space group I-4m2 (No. 119)
Inequivalent atoms, fractional coordinates:
Pm 0.000 0.000 0.000 x2
Y 0.000 0.500 0.250 x2
Tm 0.000 0.500 0.750 x2
Sc 0.000 0.000 0.500 x2

=====

ii is favored, and the nearest alternative lies 56 meV per atom above it.

=====

i:
This record from Alexandria via LeMat-Bulk describes a geometry-optimized PmTmScZn structure. The functional is GGA-PBE.

Properties
ρ, g/cm3: 6.91

a = 3.461 Å, b = 3.461 Å, c = 8.513 Å
α = 90.00°, β = 90.00°, γ = 90.00°
Space group P4mm (No. 99)
Inequivalent atoms, fractional coordinates:
Pm 0.000 0.000 0.000 x1
Tm 0.500 0.500 0.690 x1
Sc 0.500 0.500 0.291 x1
Zn 0.000 0.000 0.472 x1

=====

ii:
This record from Alexandria via LeMat-Bulk describes a geometry-optimized PmTmScZn structure. The functional is GGA-PBE.

Properties
ρ, g/cm3: 6.93

a = 7.408 Å, b = 7.408 Å, c = 7.408 Å
α = 90.00°, β = 90.00°, γ = 90.00°
Space group F-43m (No. 216)
Inequivalent atoms, fractional coordinates:
Pm 0.000 0.000 0.000 x4
Tm 0.000 0.000 0.500 x4
Sc 0.250 0.250 0.750 x4
Zn 0.250 0.250 0.250 x4

=====

i is favored, and the nearest alternative lies 154 meV per atom above it.

=====

i:
This record from Alexandria via LeMat-Bulk describes a geometry-optimized PmSc2V structure. The functional is GGA-PBE.

Properties
ρ, g/cm3: 4.87

a = 3.429 Å, b = 3.429 Å, c = 8.293 Å
α = 90.00°, β = 90.00°, γ = 90.00°
Space group P4/mmm (No. 123)
Inequivalent atoms, fractional coordinates:
Pm 0.000 0.000 0.000 x1
Sc 0.500 0.500 0.308 x2
V 0.000 0.000 0.500 x1

=====

ii:
This record from Alexandria via LeMat-Bulk describes a geometry-optimized PmSc2V structure. The functional is GGA-PBE.

Properties
ρ, g/cm3: 4.87

a = 3.2141 Å, b = 3.2141 Å, c = 32.7019 Å
α = 90.00°, β = 90.00°, γ = 120.00°
Space group R-3m (No. 166, hexagonal axes)
Inequivalent atoms, fractional coordinates:
Pm 0.0000 0.0000 0.0000 x3
Sc 0.0000 0.0000 0.4204 x6
V 0.0000 0.0000 0.5000 x3

=====

i is favored, and the nearest alternative lies 397 meV per atom above it.